# 1
This record from Alexandria via LeMat-Bulk describes a geometry-optimized LaSb2H2 structure. The functional is PBE-GGA.

For the offset from the most stable computed form, the calculation gives 0.00 kcal/mol of atoms. The value obtained for the spin magnetization is 0.00 μB per cell. The raw total energy comes out at -4.21 eV per atom. The calculation puts the calculated density at 6.2 g/cm3.

The structure belongs to space group P4/mbm (No. 127); the cell edges are 6.8977, 6.8977 and 4.3258 Å and the angles 90.00°, 90.00° and 90.00°. Symmetry generates all atoms from La at (0.0000, 0.0000, 0.0000), Sb at (0.1503, 0.3497, 0.5000) and H at (0.1812, 0.3188, 0.0000).



# 2
This record from Alexandria via LeMat-Bulk describes a geometry-optimized La2Sc2Sb2H structure. The functional is PBE-GGA.

The value obtained for the spin magnetization is 2.53 μB per cell. The raw total energy comes out at -5.76 eV per atom. The calculation puts the calculated density at 6.0 g/cm3.

The structure belongs to space group I4/mmm (No. 139); the cell edges are 4.5118, 4.5118 and 16.7324 Å and the angles 90.00°, 90.00° and 90.00°. Symmetry generates all atoms from La at (0.0000, 0.0000, 0.1752), Sc at (0.0000, 0.5000, 0.0000), Sb at (0.0000, 0.0000, 0.3760) and H at (0.0000, 0.0000, 0.0000).